The following is a DFT calculation (GGA+U) of a relaxed structure of YbV4O8.

a = 5.560 Å, b = 7.904 Å, c = 8.096 Å
α = 102.01°, β = 95.15°, γ = 96.38°
Site moments in Bohr magnetons follow the coordinates.
Element x y z (fractional)
O (0.360, 0.704, 0.974)  -0.06
O (0.057, 0.282, 0.838)  -0.06
O (0.141, 0.007, 0.385)  -0.03
O (0.624, 0.915, 0.242)  -0.03
O (0.778, 0.955, 0.935)  0.00
O (0.640, 0.296, 0.026)  -0.06
O (0.943, 0.718, 0.162)  -0.06
O (0.376, 0.085, 0.758)  -0.03
O (0.939, 0.334, 0.475)  -0.02
O (0.209, 0.382, 0.200)  -0.08
O (0.222, 0.045, 0.065)  0.00
O (0.859, 0.993, 0.615)  -0.03
O (0.425, 0.369, 0.563)  -0.06
O (0.791, 0.618, 0.800)  -0.08
O (0.575, 0.631, 0.437)  -0.06
O (0.061, 0.666, 0.525)  -0.02
V (0.318, 0.248, 0.992)  1.12
V (0.250, 0.489, 0.421)  1.41
V (0.150, 0.184, 0.600)  1.91
V (0.850, 0.816, 0.400)  1.91
V (0.726, 0.135, 0.801)  1.87
V (0.274, 0.865, 0.199)  1.87
V (0.682, 0.752, 0.008)  1.12
V (0.750, 0.511, 0.579)  1.41
Yb (0.119, 0.844, 0.798)  0.32
Yb (0.881, 0.156, 0.202)  0.32

- relative energy among the computed polymorphs (meV per atom) = 47
- space group = P-1 (2)